Entry 1:
Computed, not measured: SrTePb2O2 after structural relaxation at the PBE level of DFT.

a b c (Å): 7.3067 6.0974 7.3286
angles (deg): 90.00 104.91 90.00
Space group P2_1/m (No. 11)
One atom of each set of equivalent atoms:
Sr 0.0570 0.2500 0.3532 (multiplicity 2)
Te 0.2461 0.7500 0.1519 (multiplicity 2)
Pb 0.3070 0.2500 0.8629 (multiplicity 2)
Pb 0.4107 0.7500 0.5869 (multiplicity 2)
O 0.2055 0.0036 0.6270 (multiplicity 4)

Computed properties:
**V**: 26.3 Å³ per atom
**Crystal system**: monoclinic
**Energy**: -5.114 eV per atom
**DOS at the Fermi energy**: 0.000 states/eV/cell
**Total moment**: 0.00 μB per formula unit

Entry 2:
Computed, not measured: Nd9Dy4Zn11 after structural relaxation at the PBE level of DFT.

a b c (Å): 15.3478 22.0744 3.5392
angles (deg): 90.00 90.00 90.00
Space group Cmmm (No. 65)
One atom of each set of equivalent atoms:
Nd 0.0000 0.0000 0.0000 (multiplicity 2)
Nd 0.1156 0.2418 0.0000 (multiplicity 8)
Nd 0.1211 0.4141 0.0000 (multiplicity 8)
Dy 0.1571 0.0926 0.0000 (multiplicity 8)
Zn 0.0000 0.1348 0.5000 (multiplicity 4)
Zn 0.0000 0.3317 0.5000 (multiplicity 4)
Zn 0.0000 0.5000 0.5000 (multiplicity 2)
Zn 0.2385 0.3215 0.5000 (multiplicity 8)
Zn 0.2501 0.0000 0.5000 (multiplicity 4)

Computed properties:
**V**: 25.0 Å³ per atom
**Crystal system**: orthorhombic
**Energy**: -3.370 eV per atom
**DOS at the Fermi energy**: 44.934 states/eV/cell
**Total moment**: 0.00 μB per formula unit
**E_form**: -5.6 eV per formula unit

Entry 3:
Computed, not measured: TbThCoOs after structural relaxation at the PBE level of DFT.

a b c (Å): 6.9333 6.9333 6.9333
angles (deg): 90.00 90.00 90.00
Space group F-43m (No. 216)
One atom of each set of equivalent atoms:
Tb 0.0000 0.0000 0.0000 (multiplicity 4)
Th 0.0000 0.0000 0.5000 (multiplicity 4)
Co 0.2500 0.2500 0.2500 (multiplicity 4)
Os 0.2500 0.2500 0.7500 (multiplicity 4)

Computed properties:
**V**: 20.8 Å³ per atom
**Crystal system**: cubic
**Energy**: -7.778 eV per atom
**DOS at the Fermi energy**: 4.109 states/eV/cell
**Total moment**: 0.49 μB per formula unit
**E_form**: -0.7 eV per formula unit

Which formula does entry 1 have?
SrTePb2O2

Which of these has the lowest DOS at the Fermi energy?
SrTePb2O2